A plane-wave DFT calculation with PBE with a Hubbard U was carried out for LiCrSbF6 after structural relaxation.

- space group = Cmm2, No. 35
- DOS at the Fermi energy (states/eV/cell) = 0.0
- calculated total energy (eV/atom) = -5.2684

abc: 4.940 4.940 10.287
angles: 90.00 90.00 90.00
Site moments in Bohr magnetons follow the coordinates.
Atoms (fractional coordinates):
Li 0.500 0.500 0.832  0.00
Li 0.000 0.000 0.332  0.00
Cr 0.500 0.500 0.502  3.83
Cr 0.000 0.000 0.002  3.80
Sb 0.500 0.500 0.170  0.01
Sb 0.000 0.000 0.671  0.01
F 0.212 0.788 0.492  0.00
F 0.788 0.212 0.492  0.00
F 0.288 0.288 0.992  0.00
F 0.712 0.712 0.992  0.00
F 0.187 0.813 0.175  0.01
F 0.813 0.187 0.175  0.01
F 0.313 0.313 0.677  0.01
F 0.687 0.687 0.677  0.01
F 0.806 0.194 0.830  0.00
F 0.194 0.806 0.830  0.00
F 0.695 0.695 0.329  0.00
F 0.305 0.305 0.329  0.00